A PBEsol-optimized structure of BaFe2P. Source: Alexandria, functional SCAN.

Unit cell a=3.130 b=3.130 c=7.112 alpha=90.00 beta=90.00 gamma=90.01
Each line ends with the local moment (μB).
Sites, in units of the cell vectors:
Ba (0.500, 0.500, 0.252)  -0.07
Fe (0.000, 0.000, 0.908)  2.79
Fe (0.500, 0.500, 0.742)  2.44
P (0.000, 0.000, 0.597)  -0.07

## Properties
total magnetization = 1.238 μB per atom
formation energy from the elements = 174 meV/atom
final energy = -85.513 eV per formula unit